[1]
KNa3Sr PBE optimized geometry; magnetic moment = 0.000 μB per atom; E above lowest polymorph = 12 meV/atom; density = 1.37 Mg/m³; formation enthalpy at 0 K = 49 meV per atom; V = 47.53 Å³/atom; N(E_F) = 7.756 states/eV/cell; space group = No. 166
1.0
-5.9240 -0.5081 4.6509
0.9772 0.7254 7.4500
-3.0463 9.5731 3.2918
Na Sr K
6 2 2
direct
0.1228 0.6099 0.1446
0.1228 0.1228 0.1446
0.8772 0.8772 0.8554
0.3901 0.8772 0.8554
0.8772 0.3901 0.8554
0.6099 0.1228 0.1446
0.8351 0.8351 0.4946
0.1649 0.1649 0.5054
0.4284 0.4284 0.7148
0.5716 0.5716 0.2852



[2]
Sm4Ag2Hg3 PBE optimized geometry; magnetic moment = 0.000 μB per atom; density = 10.16 Mg/m³; formation enthalpy at 0 K = -323 meV per atom; V = 25.77 Å³/atom; N(E_F) = 6.986 states/eV/cell; space group = No. 12
1.0
-3.4133 -3.8220 -0.8520
-0.1982 -4.0702 3.2165
-6.7093 4.7484 5.5789
Hg Ag Sm
3 2 4
direct
0.3332 0.3336 0.4600
0.6668 0.6664 0.5400
0.0000 0.0000 0.0000
0.6663 0.6673 0.2033
0.3337 0.3327 0.7967
0.6668 0.6663 0.8868
0.3332 0.3337 0.1132
0.9996 0.0007 0.3341
0.0004 0.9993 0.6659



[3]
GdAlPdAu PBE optimized geometry; magnetic moment = 1.781 μB per atom; density = 10.36 Mg/m³; formation enthalpy at 0 K = -712 meV per atom; V = 19.54 Å³/atom; N(E_F) = 2.716 states/eV/cell; space group = No. 216
1.0
4.7993 0.0000 0.0000
2.3997 4.1563 0.0000
2.3997 1.3854 3.9186
Gd Au Pd Al
1 1 1 1
direct
0.2500 0.2500 0.2500
0.5000 0.5000 0.5000
0.0000 0.0000 0.0000
0.7500 0.7500 0.7500



[4]
EuHo2In PBE optimized geometry; magnetic moment = 1.867 μB per atom; E above lowest polymorph = 32 meV/atom; density = 7.98 Mg/m³; formation enthalpy at 0 K = -174 meV per atom; V = 31.05 Å³/atom; N(E_F) = 3.860 states/eV/cell; space group = No. 123
1.0
3.6273 0.0000 0.0000
0.0000 3.6273 0.0000
0.0000 0.0000 9.4408
In Ho Eu
1 2 1
direct
0.5000 0.5000 0.0000
0.0000 0.0000 0.2105
0.0000 0.0000 0.7895
0.5000 0.5000 0.5000



[5]
MgGaAgO PBE optimized geometry; magnetic moment = 0.000 μB per atom; uncorrected formation energy = -1.075 eV/atom; E above lowest polymorph = 2 meV/atom; density = 5.80 Mg/m³; V = 15.59 Å³/atom; N(E_F) = 0.546 states/eV/cell; space group = No. 156
1.0
-0.9189 1.0337 2.8246
-2.0547 -0.1120 -2.3783
-1.8207 -6.7900 1.8926
Mg O Ga Ag
1 1 1 1
direct
0.3333 0.6667 0.6518
0.6667 0.3333 0.7663
0.6667 0.3333 0.0334
0.0000 0.0000 0.3203



[6]
LaZrSc2 PBE optimized geometry; magnetic moment = 0.000 μB per atom; E above lowest polymorph = 66 meV/atom; density = 5.02 Mg/m³; formation enthalpy at 0 K = 118 meV per atom; V = 26.45 Å³/atom; N(E_F) = 6.871 states/eV/cell; space group = No. 160
1.0
11.0649 -0.0025 -0.0014
10.5589 3.3079 -0.0014
10.5589 1.6140 2.8874
Zr Sc La
1 2 1
direct
0.4957 0.4957 0.4957
0.0037 0.0037 0.0037
0.7518 0.7518 0.7518
0.2488 0.2488 0.2488



[7]
Y2Zn3Ru2 PBE optimized geometry; magnetic moment = 0.000 μB per atom; density = 7.12 Mg/m³; formation enthalpy at 0 K = -295 meV per atom; V = 19.21 Å³/atom; N(E_F) = 5.510 states/eV/cell; space group = No. 12
1.0
-3.3968 -1.4643 -2.3258
1.9413 -3.7239 3.6137
-3.8771 3.6900 3.3392
Y Zn Ru
2 3 2
direct
0.3799 0.7597 0.6546
0.6201 0.2403 0.3454
0.2924 0.5847 0.1230
0.0000 0.0000 0.0000
0.7076 0.4153 0.8770
0.0902 0.1803 0.6731
0.9098 0.8197 0.3269



[8]
PrHo2PuBi4 PBE optimized geometry; magnetic moment = 0.644 μB per atom; density = 9.80 Mg/m³; formation enthalpy at 0 K = -731 meV per atom; V = 32.85 Å³/atom; N(E_F) = 17.474 states/eV/cell; space group = No. 10
1.0
-4.2133 1.6137 0.4386
-2.4443 -4.8406 -5.6712
-0.6463 -3.5748 6.9443
Pr Bi Ho Pu
1 4 2 1
direct
0.0000 0.0000 0.0000
0.5000 0.7434 0.7406
0.0000 0.7489 0.2570
0.0000 0.2511 0.7430
0.5000 0.2566 0.2594
0.5000 0.0000 0.5000
0.0000 0.5000 0.5000
0.5000 0.5000 0.0000



[9]
NaNi4S3 PBE optimized geometry; magnetic moment = 0.000 μB per atom; uncorrected formation energy = -0.427 eV/atom; density = 4.93 Mg/m³; V = 14.90 Å³/atom; N(E_F) = 6.746 states/eV/cell; space group = No. 123
1.0
-0.5226 -3.2786 -1.7652
-0.5956 -1.6859 3.3078
-8.2409 1.6576 -0.6390
Ni Na S
4 1 3
direct
0.0000 0.5000 0.1579
0.5000 0.0000 0.1579
0.5000 0.0000 0.8421
0.0000 0.5000 0.8421
0.0000 0.0000 0.5000
0.5000 0.5000 0.7003
0.5000 0.5000 0.2997
0.0000 0.0000 0.0000



[10]
Be2GaTcI PBE optimized geometry; magnetic moment = 0.172 μB per atom; uncorrected formation energy = 0.937 eV/atom; density = 5.18 Mg/m³; V = 20.06 Å³/atom; N(E_F) = 5.452 states/eV/cell; space group = No. 123
1.0
-3.0518 0.2786 -3.3130
3.0564 -1.5348 -2.9444
-1.4277 -4.6204 0.9265
I Be Tc Ga
1 2 1 1
direct
0.5000 0.5000 0.5000
0.5000 0.0000 0.0000
0.0000 0.5000 0.0000
0.0000 0.0000 0.0000
0.0000 0.0000 0.5000



[11]
Li2Mg15Tl2 PBE optimized geometry; magnetic moment = 0.000 μB per atom; density = 2.76 Mg/m³; formation enthalpy at 0 K = 77 meV per atom; V = 24.95 Å³/atom; N(E_F) = 6.550 states/eV/cell; space group = No. 166
1.0
-6.9446 3.1635 -1.9703
-2.1589 -5.1943 -5.5205
-4.6844 -4.5546 4.4079
Mg Li Tl
15 2 2
direct
0.0000 0.0000 0.5000
0.6849 0.3151 0.0000
0.6586 0.6586 0.1591
0.5000 0.0000 0.0000
0.3151 0.0000 0.6849
0.3414 0.3414 0.8409
0.3414 0.8409 0.3414
0.3151 0.6849 0.0000
0.8409 0.3414 0.3414
0.6586 0.1591 0.6586
0.0000 0.3151 0.6849
0.0000 0.5000 0.0000
0.6849 0.0000 0.3151
0.1591 0.6586 0.6586
0.0000 0.6849 0.3151
0.9076 0.9076 0.9076
0.0924 0.0924 0.0924
0.6929 0.6929 0.6929
0.3071 0.3071 0.3071